No. 1
# MgFePO2

Crystalline MgFePO2 at its relaxed geometry (GGA+U, Alexandria).

a b c (Å): 3.7623 3.7623 5.0050
angles (deg): 90.00 90.00 90.00
With the nearest neighbours (Å) after each atom.
Space group P4/mmm (No. 123)
Unique sites:
Mg  0.0000  0.0000  0.0000 (multiplicity 1)  4 P 2.66
Fe  0.5000  0.5000  0.5000 (multiplicity 1)  4 O 1.88
P  0.5000  0.5000  0.0000 (multiplicity 1)  2 Fe 2.50, 4 Mg 2.66
O  0.0000  0.5000  0.5000 (multiplicity 2)  2 Fe 1.88

Properties
E_tot = -25.08 eV per cell
Density = 3.4 g/cm3
Energy above the most stable polymorph in this dataset = 0 meV per atom
Density of states at the Fermi level = 1.9 states/eV per cell

=====

No. 2
# Cd2WF

Crystalline Cd2WF at its relaxed geometry (GGA+U, Alexandria).

a b c (Å): 6.9328 6.9328 6.9328
angles (deg): 90.00 90.00 90.00
With the nearest neighbours (Å) after each atom.
Space group Fm-3m (No. 225)
Unique sites:
Cd  0.2500  0.2500  0.2500 (multiplicity 8)  4 F 3.00, 4 W 3.00
W  0.0000  0.0000  0.0000 (multiplicity 4)  8 Cd 3.00
F  0.0000  0.0000  0.5000 (multiplicity 4)  8 Cd 3.00

Properties
E_tot = -40.67 eV per cell
Density = 8.5 g/cm3
Energy above the most stable polymorph in this dataset = 144 meV per atom
Density of states at the Fermi level = 2.5 states/eV per cell